1.
A plane-wave DFT calculation with PBE was carried out for Nd2TmMnSe5 after structural relaxation.

## Properties
DFT total energy ... -6.055 eV/atom
Total magnetic moment ... 8.70 μB/cell
Raw formation energy ... -13.90 eV/f.u.

The structure in POSCAR format:
```
Nd2TmMnSe5
1.0
2.032 -8.666 0.000
2.032 8.666 0.000
0.000 0.000 12.474
Nd Tm Mn Se
4 2 2 10
direct
0.118 0.882 0.500
0.121 0.879 0.850
0.879 0.121 0.350
0.882 0.118 0.000
0.183 0.817 0.179
0.817 0.183 0.679
0.445 0.555 0.582
0.555 0.445 0.082
0.018 0.982 0.180
0.303 0.697 0.838
0.306 0.694 0.516
0.345 0.655 0.173
0.495 0.505 0.906
0.505 0.495 0.406
0.655 0.345 0.673
0.694 0.306 0.016
0.697 0.303 0.338
0.982 0.018 0.680
```

---

2.
A plane-wave DFT calculation with PBE was carried out for VInTe2I after structural relaxation.

## Properties
Energy relative to the lowest polymorph listed for this composition ... 0.000 eV/f.u.
DFT total energy ... -3.995 eV/atom
Total magnetic moment ... 1.52 μB/cell
Raw formation energy ... -0.29 eV/f.u.

The structure in POSCAR format:
```
VInTe2I
1.0
5.241 0.000 0.000
0.000 5.241 0.000
0.000 0.000 5.950
V In Te I
1 1 2 1
direct
0.000 0.000 0.000
0.500 0.500 0.500
0.000 0.500 0.000
0.500 0.000 0.000
0.000 0.000 0.500
```

---

3.
A plane-wave DFT calculation with PBE was carried out for HfSc3Co3 after structural relaxation.

## Properties
DFT total energy ... -7.425 eV/atom
Calculated formation energy ... -0.2446 eV per atom
Total magnetic moment ... 0.42 μB/cell

The structure in POSCAR format:
```
HfSc3Co3
1.0
4.359 2.516 1.832
-4.359 2.516 1.832
0.000 -5.033 1.832
Hf Sc Co
1 3 3
direct
0.000 0.000 0.000
0.000 0.500 0.500
0.500 0.000 0.500
0.500 0.500 0.000
0.000 0.000 0.500
0.000 0.500 0.000
0.500 0.000 0.000
```

---

4.
A plane-wave DFT calculation with PBE was carried out for Li3CrC after structural relaxation.

## Properties
Energy relative to the lowest polymorph listed for this composition ... 3.877 eV/f.u.
DFT total energy ... -2.950 eV/atom
Calculated formation energy ... 1.9681 eV per atom
Total magnetic moment ... 7.00 μB/cell

The structure in POSCAR format:
```
Li3CrC
1.0
4.937 0.000 0.000
0.000 4.937 0.000
0.000 0.000 4.937
Li Cr C
3 1 1
direct
0.000 0.000 0.500
0.000 0.500 0.000
0.500 0.000 0.000
0.000 0.000 0.000
0.500 0.500 0.500
```